[1]
Material: Ac3HfS7
Method: DFT, PBE-GGA
State: optimized geometry

a b c (Å): 8.273 8.273 9.684
angles (deg): 90.00 90.00 110.30
Fractional positions:
Ac 0.008 0.008 0.000
Ac 0.051 0.495 0.252
Ac 0.495 0.051 0.748
Ac 0.505 0.949 0.248
Ac 0.949 0.505 0.752
Ac 0.992 0.992 0.500
Hf 0.500 0.500 0.000
Hf 0.500 0.500 0.500
S 0.127 0.873 0.750
S 0.132 0.868 0.250
S 0.175 0.422 0.968
S 0.176 0.422 0.535
S 0.422 0.175 0.032
S 0.422 0.176 0.465
S 0.440 0.560 0.250
S 0.560 0.440 0.750
S 0.578 0.824 0.965
S 0.578 0.825 0.532
S 0.824 0.578 0.035
S 0.825 0.578 0.468
S 0.868 0.132 0.750
S 0.873 0.127 0.250

[2]
Material: AcHf4S8
Method: DFT, PBE-GGA
State: optimized geometry

Properties
The calculation puts the energy above the most stable polymorph in this dataset at 2.35 eV per formula unit.

a b c (Å): 7.697 7.697 7.697
angles (deg): 60.00 60.00 60.00
Fractional positions:
Ac 0.000 0.000 0.000
Hf 0.159 0.614 0.614
Hf 0.614 0.159 0.614
Hf 0.614 0.614 0.159
Hf 0.614 0.614 0.614
S 0.380 0.380 0.380
S 0.380 0.380 0.859
S 0.380 0.859 0.380
S 0.437 0.854 0.854
S 0.854 0.437 0.854
S 0.854 0.854 0.437
S 0.854 0.854 0.854
S 0.859 0.380 0.380

[3]
Material: Ac2Hf2S7
Method: DFT, PBE-GGA
State: optimized geometry

Properties
The calculation puts the energy above the most stable polymorph in this dataset at 0.00 eV per formula unit.

a b c (Å): 9.293 9.293 9.293
angles (deg): 60.00 60.00 60.00
Fractional positions:
Ac 0.000 0.000 0.000
Ac 0.000 0.000 0.500
Ac 0.000 0.500 0.000
Ac 0.500 0.000 0.000
Hf 0.000 0.500 0.500
Hf 0.500 0.000 0.500
Hf 0.500 0.500 0.000
Hf 0.500 0.500 0.500
S 0.125 0.125 0.125
S 0.170 0.170 0.580
S 0.170 0.580 0.170
S 0.170 0.580 0.580
S 0.420 0.420 0.830
S 0.420 0.830 0.420
S 0.420 0.830 0.830
S 0.580 0.170 0.170
S 0.580 0.170 0.580
S 0.580 0.580 0.170
S 0.830 0.420 0.420
S 0.830 0.420 0.830
S 0.830 0.830 0.420
S 0.875 0.875 0.875

[4]
Material: Ac5Hf2S12
Method: DFT, PBE-GGA
State: optimized geometry

a b c (Å): 8.963 8.963 9.425
angles (deg): 105.55 105.55 48.75
Fractional positions:
Ac 0.000 0.000 0.000
Ac 0.303 0.303 0.146
Ac 0.312 0.312 0.664
Ac 0.688 0.688 0.336
Ac 0.697 0.697 0.854
Hf 0.249 0.751 0.500
Hf 0.751 0.249 0.500
S 0.001 0.001 0.317
S 0.094 0.582 0.419
S 0.098 0.599 0.927
S 0.401 0.902 0.073
S 0.418 0.906 0.581
S 0.498 0.498 0.308
S 0.502 0.502 0.692
S 0.582 0.094 0.419
S 0.599 0.098 0.927
S 0.902 0.401 0.073
S 0.906 0.418 0.581
S 0.999 0.999 0.683

[5]
Material: Ac2HfScS6
Method: DFT, PBE-GGA
State: optimized geometry

a b c (Å): 6.952 6.956 6.965
angles (deg): 89.55 60.24 60.02
Fractional positions:
Ac 0.015 0.226 0.226
Ac 0.985 0.774 0.774
Hf 0.500 0.500 0.000
Sc 0.500 0.000 0.500
S 0.001 0.800 0.199
S 0.417 0.351 0.347
S 0.498 0.191 0.812
S 0.502 0.809 0.188
S 0.583 0.649 0.653
S 0.999 0.200 0.801

[6]
Material: Ac3HfTl3S8
Method: DFT, PBE-GGA
State: optimized geometry

a b c (Å): 8.998 8.998 8.998
angles (deg): 56.69 56.69 56.69
Fractional positions:
Ac 0.000 0.500 0.500
Ac 0.500 0.000 0.500
Ac 0.500 0.500 0.000
Hf 0.000 0.000 0.000
Tl 0.000 0.000 0.500
Tl 0.000 0.500 0.000
Tl 0.500 0.000 0.000
S 0.211 0.211 0.771
S 0.211 0.771 0.211
S 0.229 0.789 0.789
S 0.262 0.262 0.262
S 0.738 0.738 0.738
S 0.771 0.211 0.211
S 0.789 0.229 0.789
S 0.789 0.789 0.229

Number 1: formation energy from raw total energies -177 kJ per mole of atoms, density 5791 kg/m3. Number 2: formation energy from raw total energies -147 kJ per mole of atoms, density 6168 kg/m3. Number 3: formation energy from raw total energies -176 kJ per mole of atoms, density 6059 kg/m3. Number 4: formation energy from raw total energies -185 kJ per mole of atoms, density 5728 kg/m3. Number 5: formation energy from raw total energies -184 kJ per mole of atoms, density 6018 kg/m3. Number 6: formation energy from raw total energies -145 kJ per mole of atoms, density 6034 kg/m3.